# 1
The following is a DFT calculation (PBE) of a relaxed ScAl2Ni2 crystal.

Cell lengths 5.7942, 5.7942, 5.7942 Å; angles 141.09, 141.09, 56.20 degrees
Atoms (fractional coordinates):
Sc  0.0000  0.0000  0.0000
Al  0.2500  0.7500  0.5000
Al  0.7500  0.2500  0.5000
Ni  0.3892  0.3892  0.0000
Ni  0.6108  0.6108  0.0000

Properties
- total DFT energy (no corrections) (eV/atom) = -5.511
- total magnetic moment (μB per formula unit) = 0.0



# 2
The following is a DFT calculation (PBE) of a relaxed AsPtF6 crystal.

Cell lengths 5.2306, 5.2306, 5.2306 Å; angles 60.00, 60.00, 60.00 degrees
Atoms (fractional coordinates):
As  0.0000  0.0000  0.0000
Pt  0.2500  0.2500  0.2500
F  0.2393  0.2393  0.7607
F  0.2393  0.7607  0.2393
F  0.2393  0.7607  0.7607
F  0.7607  0.2393  0.2393
F  0.7607  0.2393  0.7607
F  0.7607  0.7607  0.2393

Properties
- total DFT energy (no corrections) (eV/atom) = -3.997
- total magnetic moment (μB per formula unit) = 1.0



- Which of these has the lowest total magnetic moment?
  ScAl2Ni2



- total DFT energy (no corrections) of number 1 (ScAl2Ni2)?
  -5.511 eV/atom



Repeat the first record exactly.
The following is a DFT calculation (PBE) of a relaxed ScAl2Ni2 crystal.

Cell lengths 5.7942, 5.7942, 5.7942 Å; angles 141.09, 141.09, 56.20 degrees
Atoms (fractional coordinates):
Sc  0.0000  0.0000  0.0000
Al  0.2500  0.7500  0.5000
Al  0.7500  0.2500  0.5000
Ni  0.3892  0.3892  0.0000
Ni  0.6108  0.6108  0.0000

Properties
- total DFT energy (no corrections) (eV/atom) = -5.511
- total magnetic moment (μB per formula unit) = 0.0



- Number 1 is which compound?
  ScAl2Ni2